Pm3ScAg2 after structural relaxation, computed with PBE.

```
Pm3ScAg2
1.0
-1.474 3.383 -0.058
-0.997 -0.495 -3.519
-10.480 -4.505 3.604
Pm Sc Ag
3 1 2
Direct
0.000 0.000 0.000
0.000 0.000 0.317
0.000 0.000 0.683
0.500 0.500 0.500
0.500 0.500 0.162
0.500 0.500 0.838
```

Energy relative to the elements, eV per atom: -0.156
Density of states at the Fermi level, states/eV/f.u.: 5.6
Space group: P4/mmm, No. 123
E_tot, eV/atom: -4.5371

Pm3ScAg3 after structural relaxation, computed with PBE.

```
Pm3ScAg3
1.0
-0.922 -3.297 6.431
4.795 4.234 3.486
-4.722 4.645 2.713
Pm Sc Ag
6 2 6
Direct
0.675 0.675 0.527
0.183 0.817 0.500
0.309 0.691 0.000
0.691 0.309 0.000
0.817 0.183 0.500
0.325 0.325 0.473
0.220 0.220 0.052
0.780 0.780 0.948
0.025 0.483 0.772
0.483 0.025 0.772
0.517 0.975 0.228
0.975 0.517 0.228
0.943 0.943 0.196
0.057 0.057 0.804
```

Energy relative to the elements, eV per atom: -0.125
Density of states at the Fermi level, states/eV/f.u.: 7.1
Space group: C2/m, No. 12
E_tot, eV/atom: -4.2878

Pm3Sc2Ag3 after structural relaxation, computed with PBE.

```
Pm3Sc2Ag3
1.0
-1.596 2.613 -1.884
-0.022 -3.093 -4.271
-8.859 -3.617 5.919
Sc Pm Ag
2 3 3
Direct
0.265 0.765 0.530
0.735 0.235 0.470
0.500 0.000 0.000
0.375 0.375 0.750
0.625 0.625 0.250
0.872 0.872 0.743
0.128 0.128 0.257
0.000 0.500 0.000
```

Energy relative to the elements, eV per atom: -0.185
Density of states at the Fermi level, states/eV/f.u.: 9.3
Space group: Immm, No. 71
E_tot, eV/atom: -4.6189

Pm4ScAg3 after structural relaxation, computed with PBE.

```
Pm4ScAg3
1.0
-0.771 3.294 -1.432
-2.858 -2.357 -3.885
-8.879 0.601 6.167
Pm Sc Ag
4 1 3
Direct
0.000 0.000 0.000
0.000 0.500 0.740
0.000 0.000 0.500
0.000 0.500 0.260
0.500 0.500 0.000
0.500 0.500 0.500
0.500 0.000 0.241
0.500 0.000 0.759
```

Energy relative to the elements, eV per atom: -0.161
Density of states at the Fermi level, states/eV/f.u.: 8.0
Space group: Pmmm, No. 47
E_tot, eV/atom: -4.3969

PmScAg4 after structural relaxation, computed with PBE.

```
PmScAg4
1.0
3.686 0.556 -0.335
1.193 5.090 0.544
-1.383 0.998 7.298
Sc Ag Pm
1 4 1
Direct
0.001 0.997 0.498
0.645 0.018 0.807
0.358 0.976 0.190
0.820 0.510 0.648
0.183 0.484 0.348
0.501 0.497 0.998
```

Energy relative to the elements, eV per atom: -0.258
Density of states at the Fermi level, states/eV/f.u.: 2.9
Space group: P-1, No. 2
E_tot, eV/atom: -4.0057

Pm5ScAg4 after structural relaxation, computed with PBE.

```
Pm5ScAg4
1.0
3.695 0.000 0.000
0.000 3.695 0.000
0.000 0.000 19.523
Ag Pm Sc
4 5 1
Direct
0.000 0.000 0.206
0.000 0.000 0.596
0.000 0.000 0.404
0.000 0.000 0.794
0.500 0.500 0.695
0.500 0.500 0.305
0.500 0.500 0.888
0.500 0.500 0.112
0.500 0.500 0.500
0.000 0.000 0.000
```

Energy relative to the elements, eV per atom: -0.199
Density of states at the Fermi level, states/eV/f.u.: 9.0
Space group: P4/mmm, No. 123
E_tot, eV/atom: -4.3484

Pm3ScAg2 after structural relaxation, computed with PBE.

```
Pm3ScAg2
1.0
5.372 0.000 0.000
0.000 7.330 0.000
-2.686 -3.665 8.202
Sc Pm Ag
2 6 4
Direct
0.000 0.500 0.000
0.000 0.000 0.000
0.174 0.424 0.347
0.174 0.924 0.347
0.500 0.750 0.000
0.826 0.576 0.653
0.500 0.250 0.000
0.826 0.076 0.653
0.346 0.846 0.691
0.654 0.154 0.309
0.346 0.346 0.691
0.654 0.654 0.309
```

Energy relative to the elements, eV per atom: -0.137
Density of states at the Fermi level, states/eV/f.u.: 5.3
Space group: Cmmm, No. 65
E_tot, eV/atom: -4.5184

Pm4ScAg5 after structural relaxation, computed with PBE.

```
Pm4ScAg5
1.0
-0.035 2.263 -2.839
-3.554 -0.600 -0.435
-3.827 14.351 11.488
Pm Ag Sc
4 5 1
Direct
0.000 0.000 0.397
0.000 0.000 0.191
0.000 0.000 0.603
0.000 0.000 0.809
0.500 0.500 0.500
0.500 0.500 0.917
0.500 0.500 0.083
0.500 0.500 0.706
0.500 0.500 0.294
0.000 0.000 0.000
```

Energy relative to the elements, eV per atom: -0.262
Density of states at the Fermi level, states/eV/f.u.: 6.7
Space group: P4/mmm, No. 123
E_tot, eV/atom: -4.2205

Pm2ScAg4 after structural relaxation, computed with PBE.

```
Pm2ScAg4
1.0
-1.616 -3.946 -3.013
-1.057 -2.823 4.264
-4.672 5.773 -0.533
Ag Pm Sc
4 2 1
Direct
0.390 0.890 0.780
0.110 0.610 0.220
0.890 0.390 0.780
0.610 0.110 0.220
0.724 0.724 0.448
0.276 0.276 0.552
0.000 0.000 0.000
```

Energy relative to the elements, eV per atom: -0.090
Density of states at the Fermi level, states/eV/f.u.: 6.7
Space group: I4/mmm, No. 139
E_tot, eV/atom: -3.9813

Pm2ScAg6 after structural relaxation, computed with PBE.

```
Pm2ScAg6
1.0
-0.695 4.190 3.223
-8.643 -2.966 1.887
7.263 -2.824 5.133
Ag Pm Sc
12 4 2
Direct
0.999 0.829 0.009
0.244 0.591 0.090
0.499 0.009 0.829
0.256 0.910 0.409
0.001 0.171 0.991
0.499 0.328 0.510
0.744 0.090 0.591
0.001 0.490 0.672
0.999 0.510 0.328
0.501 0.672 0.490
0.756 0.409 0.910
0.501 0.991 0.171
0.000 0.164 0.336
0.000 0.836 0.664
0.500 0.336 0.164
0.500 0.664 0.836
0.250 0.250 0.750
0.750 0.750 0.250
```

Energy relative to the elements, eV per atom: -0.195
Density of states at the Fermi level, states/eV/f.u.: 6.3
Space group: C2/c, No. 15
E_tot, eV/atom: -3.8549

PmSc2Ag2 after structural relaxation, computed with PBE.

```
PmSc2Ag2
1.0
-2.353 -2.551 -0.250
0.187 -0.673 5.106
-8.414 9.970 1.624
Sc Ag Pm
4 4 2
Direct
0.047 0.750 0.095
0.953 0.250 0.905
0.763 0.250 0.527
0.237 0.750 0.473
0.459 0.750 0.919
0.541 0.250 0.081
0.355 0.250 0.713
0.645 0.750 0.287
0.853 0.750 0.709
0.147 0.250 0.291
```

Energy relative to the elements, eV per atom: -0.179
Density of states at the Fermi level, states/eV/f.u.: 5.4
Space group: P2_1/m, No. 11
E_tot, eV/atom: -4.8024

Pm2ScAg after structural relaxation, computed with PBE.

```
Pm2ScAg
1.0
5.367 0.000 0.000
2.684 4.648 0.000
2.684 1.549 4.382
Pm Sc Ag
2 1 1
Direct
0.750 0.750 0.750
0.250 0.250 0.250
0.000 0.000 0.000
0.500 0.500 0.500
```

Energy relative to the elements, eV per atom: 0.038
Density of states at the Fermi level, states/eV/f.u.: 4.2
Space group: Fm-3m, No. 225
E_tot, eV/atom: -4.6331

Question: Number 4 is which compound?
Answer: Pm4ScAg3